(1)
Density functional theory data (PBE-GGA) for ReTeRh2 after structural relaxation.

Cell and atoms, written as extended XYZ:
```
4
Lattice="2.963 0.000 0.000 0.000 3.727 0.000 0.000 0.000 5.960" Properties=species:S:1:pos:R:3 pbc="T T T"
Re 1.481 1.864 4.702
Te 0.000 0.000 2.859
Rh 1.481 1.864 1.452
Rh 0.000 0.000 5.887
```

Space group = No. 25
Electronic total energy = -7.257 eV per atom
Crystal system = orthorhombic

***

(2)
Density functional theory data (PBE-GGA) for Er2Sc2Se3 after structural relaxation.

Cell and atoms, written as extended XYZ:
```
7
Lattice="-2.492 2.469 1.431 -4.768 1.160 -5.288 -5.033 -3.782 2.775" Properties=species:S:1:pos:R:3 pbc="T T T"
Se -3.694 -0.878 0.098
Se 0.000 0.000 0.000
Se -8.599 0.725 -1.180
Sc -4.294 1.722 -0.416
Sc -8.000 -1.875 -0.665
Er -6.567 0.993 -3.117
Er -5.727 -1.146 2.036
```

Space group = No. 12
Electronic total energy = -5.911 eV per atom
Crystal system = monoclinic

***

(3)
Density functional theory data (PBE-GGA) for AcPr3Tl after structural relaxation.

Cell and atoms, written as extended XYZ:
```
10
Lattice="-0.087 -4.021 3.259 -0.318 -3.143 -3.885 13.350 -2.723 1.110" Properties=species:S:1:pos:R:3 pbc="T T T"
Tl 3.820 -5.891 -0.388
Tl 9.068 -6.602 2.985
Pr 11.961 -4.744 1.245
Pr 6.505 -4.453 1.457
Pr 11.638 -8.319 0.937
Pr 1.014 -3.729 -1.907
Pr 1.250 -4.174 1.661
Pr 6.470 -4.019 -2.119
Ac 9.062 -6.169 -0.591
Ac 3.913 -2.303 -0.071
```

Space group = No. 63
E_form = -0.1134 eV/atom
Crystal system = orthorhombic

***

(4)
Density functional theory data (PBE-GGA) for BeTlPbCl5 after structural relaxation.

Cell and atoms, written as extended XYZ:
```
16
Lattice="7.501 0.091 -0.127 -2.102 7.201 -0.127 -2.399 -3.240 9.285" Properties=species:S:1:pos:R:3 pbc="T T T"
Cl -2.693 2.084 7.736
Cl 3.979 -0.347 3.094
Cl -0.978 4.400 5.938
Cl 3.430 2.856 3.661
Cl -0.430 1.197 5.371
Cl 0.531 2.494 8.303
Cl 2.469 1.558 0.728
Cl 4.738 -1.625 6.837
Cl -1.738 5.677 2.195
Cl 5.693 1.969 1.295
Pb 0.000 0.000 0.000
Pb -1.199 -1.620 4.642
Tl 2.270 0.202 6.837
Tl 0.730 3.850 2.195
Be -0.914 2.560 6.837
Be 3.914 1.493 2.195
```

Space group = No. 15
Electronic total energy = -3.589 eV per atom
Crystal system = monoclinic